## Cd3Pd6Pt (PBE-GGA)

Data for crystalline Cd3Pd6Pt at its relaxed geometry.

Output
Formation enthalpy at 0 K   -267 meV per atom
ΔE to the lowest computed polymorph   0 meV/atom
M_tot   0.000 μB/cell
Space-group type   P2_1/m (11)

Cell and atoms, written as POSCAR:
```
Cd3Pd6Pt
1.0
4.673 0.000 0.000
0.000 7.095 -2.775
0.000 -0.239 10.138
Cd Pt Pd
6 2 12
Direct
0.750 0.644 0.228 Cd
0.250 0.561 0.380 Cd
0.750 0.439 0.620 Cd
0.250 0.356 0.772 Cd
0.250 0.775 0.978 Cd
0.750 0.225 0.022 Cd
0.750 0.034 0.433 Pt
0.250 0.966 0.567 Pt
0.750 0.128 0.724 Pd
0.250 0.254 0.465 Pd
0.250 0.467 0.074 Pd
0.250 0.166 0.168 Pd
0.750 0.332 0.324 Pd
0.250 0.668 0.676 Pd
0.750 0.533 0.926 Pd
0.250 0.872 0.276 Pd
0.750 0.942 0.137 Pd
0.250 0.058 0.863 Pd
0.750 0.834 0.832 Pd
0.750 0.746 0.535 Pd
```

***

## Ac3Tm5O12 (PBE-GGA)

Data for crystalline Ac3Tm5O12 at its relaxed geometry.

Output
M_tot   0.000 μB/cell
Energy   -8.181 eV/atom
Space-group type   Ia-3d (230)

Cell and atoms, written as POSCAR:
```
Ac3Tm5O12
1.0
12.017 0.000 0.000
-4.006 11.330 0.000
-4.006 -5.665 9.812
Tm O Ac
20 48 12
Direct
0.750 0.625 0.375 Tm
0.125 0.750 0.375 Tm
0.500 0.500 0.000 Tm
0.250 0.375 0.625 Tm
0.375 0.125 0.750 Tm
0.000 0.500 0.000 Tm
0.500 0.000 0.000 Tm
0.000 0.000 0.500 Tm
0.875 0.250 0.625 Tm
0.000 0.000 0.000 Tm
0.125 0.375 0.250 Tm
0.000 0.500 0.500 Tm
0.500 0.000 0.500 Tm
0.250 0.875 0.125 Tm
0.625 0.750 0.875 Tm
0.500 0.500 0.500 Tm
0.750 0.125 0.875 Tm
0.625 0.875 0.250 Tm
0.375 0.250 0.125 Tm
0.875 0.625 0.750 Tm
0.594 0.625 0.418 O
0.176 0.082 0.707 O
0.707 0.582 0.176 O
0.906 0.824 0.531 O
0.918 0.094 0.625 O
0.406 0.375 0.582 O
0.906 0.082 0.875 O
0.176 0.094 0.969 O
0.594 0.969 0.676 O
0.031 0.625 0.707 O
0.469 0.676 0.094 O
0.125 0.418 0.094 O
0.531 0.207 0.125 O
0.969 0.375 0.293 O
0.918 0.824 0.793 O
0.793 0.469 0.375 O
0.207 0.676 0.082 O
0.582 0.875 0.406 O
0.406 0.031 0.324 O
0.469 0.793 0.875 O
0.676 0.469 0.594 O
0.875 0.582 0.906 O
0.793 0.324 0.918 O
0.531 0.324 0.906 O
0.676 0.207 0.582 O
0.125 0.707 0.531 O
0.418 0.125 0.594 O
0.824 0.918 0.293 O
0.582 0.707 0.676 O
0.707 0.125 0.031 O
0.082 0.906 0.375 O
0.324 0.531 0.406 O
0.094 0.176 0.469 O
0.082 0.176 0.207 O
0.625 0.031 0.207 O
0.293 0.875 0.969 O
0.824 0.906 0.031 O
0.324 0.793 0.418 O
0.094 0.918 0.125 O
0.625 0.594 0.918 O
0.875 0.293 0.469 O
0.969 0.594 0.176 O
0.418 0.293 0.324 O
0.375 0.406 0.082 O
0.293 0.418 0.824 O
0.031 0.406 0.824 O
0.375 0.969 0.793 O
0.207 0.531 0.625 O
0.625 0.250 0.375 Ac
0.625 0.375 0.750 Ac
0.750 0.375 0.125 Ac
0.875 0.125 0.250 Ac
0.125 0.875 0.750 Ac
0.875 0.750 0.125 Ac
0.250 0.125 0.375 Ac
0.250 0.625 0.875 Ac
0.375 0.750 0.625 Ac
0.750 0.875 0.625 Ac
0.375 0.625 0.250 Ac
0.125 0.250 0.875 Ac
```

***

## BaCd2Mo (PBE-GGA)

Data for crystalline BaCd2Mo at its relaxed geometry.

Output
Formation enthalpy at 0 K   625 meV per atom
ΔE to the lowest computed polymorph   167 meV/atom
M_tot   3.370 μB/cell
Space-group type   I4/mmm (139)

Cell and atoms, written as POSCAR:
```
BaCd2Mo
1.0
-2.917 0.205 -4.736
-3.922 -3.766 1.188
1.347 4.377 3.163
Mo Cd Ba
1 2 1
Direct
0.250 0.750 0.500 Mo
0.500 0.500 0.000 Cd
0.000 0.000 0.000 Cd
0.750 0.250 0.500 Ba
```

***

Question: Which value of M_tot does entry 2 give?
Answer: 0.000 μB/cell

***

Question: Number 1 is which compound?
Answer: Cd3Pd6Pt